The following is a PBE with a Hubbard U calculation of crystalline CsMoP2O at its relaxed geometry, from Alexandria via LeMat-Bulk.

Values from the calculation:
energy: -2.724 eV per atom

a b c (Å): 5.323 5.323 4.199
angles (deg): 90.00 90.00 90.00
Atoms (fractional coordinates):
1 Cs 0.000 0.000 0.000
2 Mo 0.500 0.500 0.500
3 P 0.000 0.500 0.000
4 P 0.500 0.000 0.000
5 O 0.000 0.000 0.500